1.
MnH2Pt: relaxed, PBE.

Cell lengths 5.298, 5.298, 5.298 Å; angles 90.00, 90.00, 90.00 degrees
Fractional positions:
Mn (0.000, 0.000, 0.000)
Mn (0.000, 0.500, 0.500)
Mn (0.500, 0.000, 0.500)
Mn (0.500, 0.500, 0.000)
H (0.250, 0.250, 0.250)
H (0.250, 0.250, 0.750)
H (0.250, 0.750, 0.250)
H (0.250, 0.750, 0.750)
H (0.750, 0.250, 0.250)
H (0.750, 0.250, 0.750)
H (0.750, 0.750, 0.250)
H (0.750, 0.750, 0.750)
Pt (0.000, 0.000, 0.500)
Pt (0.000, 0.500, 0.000)
Pt (0.500, 0.000, 0.000)
Pt (0.500, 0.500, 0.500)

Its space group is Fm-3m (225). As for the total energy: -5.098 eV per atom. For the total moment, the calculation gives 15.9 μB/cell.

---

2.
MnH3Pt: relaxed, PBE.

Cell lengths 3.357, 3.357, 3.357 Å; angles 90.00, 90.00, 90.00 degrees
Fractional positions:
Mn (0.000, 0.000, 0.000)
H (0.000, 0.000, 0.500)
H (0.000, 0.500, 0.000)
H (0.500, 0.000, 0.000)
Pt (0.500, 0.500, 0.500)

Its space group is Pm-3m (221). As for the total energy: -4.744 eV per atom. For the total moment, the calculation gives 2.5 μB/cell.

---

3.
MnHPt: relaxed, PBE.

Cell lengths 2.678, 2.681, 16.703 Å; angles 90.00, 90.00, 90.00 degrees
Fractional positions:
Mn (0.000, 0.000, 0.000)
Mn (0.000, 0.000, 0.407)
Mn (0.500, 0.500, 0.500)
Mn (0.500, 0.500, 0.907)
H (0.000, 0.000, 0.511)
H (0.000, 0.500, 0.706)
H (0.500, 0.000, 0.206)
H (0.500, 0.500, 0.011)
Pt (0.000, 0.000, 0.625)
Pt (0.000, 0.000, 0.795)
Pt (0.500, 0.500, 0.125)
Pt (0.500, 0.500, 0.295)

Its space group is Imm2 (44). As for the total energy: -6.142 eV per atom. For the total moment, the calculation gives 0.0 μB/cell.

---

4.
MnHPt: relaxed, PBE.

Cell lengths 9.651, 2.721, 5.528 Å; angles 90.00, 121.96, 90.00 degrees
Fractional positions:
Mn (0.098, 0.000, 0.194)
Mn (0.402, 0.500, 0.806)
Mn (0.598, 0.500, 0.194)
Mn (0.902, 0.000, 0.806)
H (0.085, 0.500, 0.367)
H (0.415, 0.000, 0.633)
H (0.585, 0.000, 0.367)
H (0.915, 0.500, 0.633)
Pt (0.158, 0.000, 0.739)
Pt (0.342, 0.500, 0.261)
Pt (0.658, 0.500, 0.739)
Pt (0.842, 0.000, 0.261)

Its space group is C2/m (12). As for the total energy: -6.012 eV per atom. For the total moment, the calculation gives 0.0 μB/cell.

---

5.
Mn12H5Pt3: relaxed, PBE.

Cell lengths 10.265, 10.265, 10.265 Å; angles 109.47, 109.47, 109.47 degrees
Fractional positions:
Mn (0.011, 0.692, 0.094)
Mn (0.011, 0.818, 0.917)
Mn (0.083, 0.594, 0.902)
Mn (0.083, 0.989, 0.182)
Mn (0.094, 0.011, 0.692)
Mn (0.094, 0.583, 0.402)
Mn (0.098, 0.682, 0.692)
Mn (0.098, 0.917, 0.406)
Mn (0.182, 0.083, 0.989)
Mn (0.182, 0.598, 0.192)
Mn (0.192, 0.182, 0.598)
Mn (0.192, 0.511, 0.594)
Mn (0.308, 0.902, 0.318)
Mn (0.308, 0.906, 0.989)
Mn (0.318, 0.308, 0.902)
Mn (0.318, 0.511, 0.417)
Mn (0.402, 0.094, 0.583)
Mn (0.402, 0.808, 0.818)
Mn (0.406, 0.098, 0.917)
Mn (0.406, 0.808, 0.489)
Mn (0.417, 0.318, 0.511)
Mn (0.417, 0.598, 0.906)
Mn (0.489, 0.406, 0.808)
Mn (0.489, 0.583, 0.682)
Mn (0.511, 0.417, 0.318)
Mn (0.511, 0.594, 0.192)
Mn (0.583, 0.402, 0.094)
Mn (0.583, 0.682, 0.489)
Mn (0.594, 0.192, 0.511)
Mn (0.594, 0.902, 0.083)
Mn (0.598, 0.192, 0.182)
Mn (0.598, 0.906, 0.417)
Mn (0.682, 0.489, 0.583)
Mn (0.682, 0.692, 0.098)
Mn (0.692, 0.094, 0.011)
Mn (0.692, 0.098, 0.682)
Mn (0.808, 0.489, 0.406)
Mn (0.808, 0.818, 0.402)
Mn (0.818, 0.402, 0.808)
Mn (0.818, 0.917, 0.011)
Mn (0.902, 0.083, 0.594)
Mn (0.902, 0.318, 0.308)
Mn (0.906, 0.417, 0.598)
Mn (0.906, 0.989, 0.308)
Mn (0.917, 0.011, 0.818)
Mn (0.917, 0.406, 0.098)
Mn (0.989, 0.182, 0.083)
Mn (0.989, 0.308, 0.906)
H (0.000, 0.000, 0.000)
H (0.000, 0.000, 0.500)
H (0.000, 0.500, 0.000)
H (0.000, 0.500, 0.500)
H (0.125, 0.750, 0.875)
H (0.125, 0.875, 0.250)
H (0.250, 0.125, 0.875)
H (0.250, 0.625, 0.375)
H (0.375, 0.250, 0.625)
H (0.375, 0.625, 0.750)
H (0.500, 0.000, 0.000)
H (0.500, 0.000, 0.500)
H (0.500, 0.500, 0.000)
H (0.500, 0.500, 0.500)
H (0.625, 0.375, 0.250)
H (0.625, 0.750, 0.375)
H (0.750, 0.375, 0.625)
H (0.750, 0.875, 0.125)
H (0.875, 0.125, 0.750)
H (0.875, 0.250, 0.125)
Pt (0.125, 0.250, 0.375)
Pt (0.125, 0.375, 0.750)
Pt (0.250, 0.375, 0.125)
Pt (0.250, 0.875, 0.625)
Pt (0.375, 0.125, 0.250)
Pt (0.375, 0.750, 0.125)
Pt (0.625, 0.250, 0.875)
Pt (0.625, 0.875, 0.750)
Pt (0.750, 0.125, 0.375)
Pt (0.750, 0.625, 0.875)
Pt (0.875, 0.625, 0.250)
Pt (0.875, 0.750, 0.625)

Its space group is Ia-3d (230). As for the total energy: -6.912 eV per atom. For the total moment, the calculation gives 47.7 μB/cell.

---

6.
MnH2Pt: relaxed, PBE.

Cell lengths 4.136, 4.136, 8.690 Å; angles 90.00, 90.00, 90.00 degrees
Fractional positions:
Mn (0.000, 0.000, 0.000)
Mn (0.000, 0.500, 0.250)
Mn (0.500, 0.000, 0.750)
Mn (0.500, 0.500, 0.500)
H (0.249, 0.250, 0.125)
H (0.250, 0.749, 0.375)
H (0.250, 0.751, 0.875)
H (0.251, 0.250, 0.625)
H (0.749, 0.750, 0.625)
H (0.750, 0.249, 0.875)
H (0.750, 0.251, 0.375)
H (0.751, 0.750, 0.125)
Pt (0.000, 0.000, 0.500)
Pt (0.000, 0.500, 0.750)
Pt (0.500, 0.000, 0.250)
Pt (0.500, 0.500, 0.000)

Its space group is I-42d (122). As for the total energy: -5.451 eV per atom. For the total moment, the calculation gives 15.0 μB/cell.

---

7.
MnHPt: relaxed, PBE.

Cell lengths 2.681, 2.694, 16.516 Å; angles 90.00, 90.00, 90.00 degrees
Fractional positions:
Mn (0.000, 0.000, 0.000)
Mn (0.000, 0.000, 0.409)
Mn (0.500, 0.500, 0.500)
Mn (0.500, 0.500, 0.909)
H (0.000, 0.000, 0.511)
H (0.000, 0.500, 0.587)
H (0.500, 0.000, 0.087)
H (0.500, 0.500, 0.011)
Pt (0.000, 0.000, 0.163)
Pt (0.000, 0.000, 0.795)
Pt (0.500, 0.500, 0.295)
Pt (0.500, 0.500, 0.663)

Its space group is Imm2 (44). As for the total energy: -6.148 eV per atom. For the total moment, the calculation gives 0.0 μB/cell.

---

8.
MnHPt2: relaxed, PBE.

Cell lengths 5.902, 5.902, 5.902 Å; angles 90.00, 90.00, 90.00 degrees
Fractional positions:
Mn (0.000, 0.000, 0.000)
Mn (0.000, 0.500, 0.500)
Mn (0.500, 0.000, 0.500)
Mn (0.500, 0.500, 0.000)
H (0.000, 0.000, 0.500)
H (0.000, 0.500, 0.000)
H (0.500, 0.000, 0.000)
H (0.500, 0.500, 0.500)
Pt (0.250, 0.250, 0.250)
Pt (0.250, 0.250, 0.750)
Pt (0.250, 0.750, 0.250)
Pt (0.250, 0.750, 0.750)
Pt (0.750, 0.250, 0.250)
Pt (0.750, 0.250, 0.750)
Pt (0.750, 0.750, 0.250)
Pt (0.750, 0.750, 0.750)

Its space group is Fm-3m (225). As for the total energy: -5.937 eV per atom. For the total moment, the calculation gives 16.2 μB/cell.

---

9.
MnHPt: relaxed, PBE.

Cell lengths 16.443, 2.834, 2.804 Å; angles 90.00, 91.41, 90.00 degrees
Fractional positions:
Mn (0.000, 0.000, 0.000)
Mn (0.115, 0.500, 0.511)
Mn (0.500, 0.500, 0.000)
Mn (0.615, 0.000, 0.511)
H (0.104, 0.000, 0.040)
H (0.214, 0.000, 0.756)
H (0.604, 0.500, 0.040)
H (0.714, 0.500, 0.756)
Pt (0.265, 0.500, 0.967)
Pt (0.394, 0.000, 0.478)
Pt (0.765, 0.000, 0.967)
Pt (0.894, 0.500, 0.478)

Its space group is Cm (8). As for the total energy: -6.193 eV per atom. For the total moment, the calculation gives 13.8 μB/cell.

---

10.
MnH3Pt: relaxed, PBE.

Cell lengths 3.541, 3.541, 3.541 Å; angles 90.00, 90.00, 90.00 degrees
Fractional positions:
Mn (0.000, 0.000, 0.000)
H (0.000, 0.500, 0.500)
H (0.500, 0.000, 0.500)
H (0.500, 0.500, 0.000)
Pt (0.500, 0.500, 0.500)

Its space group is Pm-3m (221). As for the total energy: -4.915 eV per atom. For the total moment, the calculation gives 4.2 μB/cell.

---

11.
MnH2Pt: relaxed, PBE.

Cell lengths 2.879, 2.879, 14.755 Å; angles 90.00, 90.00, 120.00 degrees
Fractional positions:
Mn (0.000, 0.000, 0.000)
Mn (0.333, 0.667, 0.667)
Mn (0.667, 0.333, 0.333)
H (0.000, 0.000, 0.380)
H (0.000, 0.000, 0.620)
H (0.333, 0.667, 0.047)
H (0.333, 0.667, 0.287)
H (0.667, 0.333, 0.713)
H (0.667, 0.333, 0.953)
Pt (0.000, 0.000, 0.500)
Pt (0.333, 0.667, 0.167)
Pt (0.667, 0.333, 0.833)

Its space group is R-3m (166). As for the total energy: -5.503 eV per atom. For the total moment, the calculation gives 10.0 μB/cell.

---

12.
MnHPt: relaxed, PBE.

Cell lengths 2.728, 3.693, 5.768 Å; angles 90.00, 90.00, 90.00 degrees
Fractional positions:
Mn (0.000, 0.000, 0.000)
Mn (0.500, 0.500, 0.203)
H (0.000, 0.500, 0.394)
H (0.500, 0.000, 0.184)
Pt (0.000, 0.000, 0.485)
Pt (0.500, 0.500, 0.771)

Its space group is Pmm2 (25). As for the total energy: -6.114 eV per atom. For the total moment, the calculation gives 0.0 μB/cell.